A relaxed LiHf2N crystal, computed with PBE.

a = 3.1600 Å, b = 3.1600 Å, c = 8.6439 Å
α = 79.47°, β = 79.47°, γ = 60.00°
Last column: nearest neighbours and their distance in Å.
Fractional coordinates of all 4 atoms:
Li1 0.0000 0.0000 0.0000  2 Hf 2.96, 6 Li 3.16
Hf1 0.1166 0.1166 0.6502  3 N 2.22
Hf2 0.8834 0.8834 0.3498  3 N 2.22
N1 0.5000 0.5000 0.5000  6 Hf 2.22

Total moment ... 0.00 μB per formula unit
Raw formation energy ... -0.6127 eV per atom

---

A relaxed LiHfN crystal, computed with PBE.

a = 3.6830 Å, b = 3.6830 Å, c = 8.0295 Å
α = 76.74°, β = 76.74°, γ = 60.00°
Last column: nearest neighbours and their distance in Å.
Fractional coordinates of all 6 atoms:
N1 0.2874 0.2874 0.1377  1 Li 2.11, 4 Hf 2.13-2.21
N2 0.7126 0.7126 0.8623  1 Li 2.11, 4 Hf 2.13-2.21
Hf1 0.3826 0.3826 0.8522  4 N 2.13-2.21
Hf2 0.6174 0.6174 0.1478  4 N 2.13-2.21
Li1 0.8035 0.8035 0.5895  1 N 2.11
Li2 0.1965 0.1965 0.4105  1 N 2.11

Total moment ... 0.00 μB per formula unit
Raw formation energy ... -0.8925 eV per atom